Computed, not measured: LiFe3As after structural relaxation at the GGA-PBEsol level of DFT.

Results
formation energy	4.92	eV/f.u.
calculated volume	12.5	A^3/atom

Cell: 3.966 3.966 3.966 Å, 90.00 90.00 90.00°
Space group Pm-3m (No. 221)
Inequivalent atoms, fractional coordinates:
Li 0.000 0.000 0.000
Fe 0.000 0.000 0.500
As 0.500 0.500 0.500

***

Computed, not measured: ZrNi2As after structural relaxation at the GGA-PBEsol level of DFT.

Results
formation energy	-1.95	eV/f.u.
calculated volume	14.0	A^3/atom

Cell: 3.820 3.820 3.839 Å, 90.00 90.00 90.00°
Space group P4/mmm (No. 123)
Inequivalent atoms, fractional coordinates:
Zr 0.000 0.000 0.000
Ni 0.000 0.500 0.500
As 0.500 0.500 0.000

***

Computed, not measured: LiInNi after structural relaxation at the GGA-PBEsol level of DFT.

Results
formation energy	-0.41	eV/f.u.
calculated volume	14.2	A^3/atom

Cell: 3.165 3.165 8.521 Å, 90.00 90.00 90.00°
Space group I4mm (No. 107)
Inequivalent atoms, fractional coordinates:
Li 0.000 0.000 0.000
In 0.000 0.000 0.686
Ni 0.000 0.000 0.355

***

Computed, not measured: BaTa4Sb after structural relaxation at the GGA-PBEsol level of DFT.

Results
ΔE_f (raw)	0.7139	eV per atom
calculated volume	21.9	A^3/atom

Cell: 8.065 8.065 8.065 Å, 90.00 90.00 90.00°
Space group F-43m (No. 216)
Inequivalent atoms, fractional coordinates:
Ba 0.000 0.000 0.000
Ta 0.128 0.128 0.372
Sb 0.250 0.250 0.750

***

Computed, not measured: TbMgRh2 after structural relaxation at the GGA-PBEsol level of DFT.

Results
formation energy	-2.56	eV/f.u.
calculated volume	17.0	A^3/atom

Cell: 6.484 6.484 6.484 Å, 90.00 90.00 90.00°
Space group Fm-3m (No. 225)
Inequivalent atoms, fractional coordinates:
Tb 0.000 0.000 0.000
Mg 0.000 0.000 0.500
Rh 0.250 0.250 0.250

***

Computed, not measured: LaY3Zn after structural relaxation at the GGA-PBEsol level of DFT.

Results
formation energy	4.70	eV/f.u.
calculated volume	33.0	A^3/atom

Cell: 5.487 5.487 5.487 Å, 90.00 90.00 90.00°
Space group Pm-3m (No. 221)
Inequivalent atoms, fractional coordinates:
La 0.000 0.000 0.000
Y 0.000 0.000 0.500
Zn 0.500 0.500 0.500